Record 1
An optimized crystal structure of SmB14Mo. Source: Alexandria, functional PBE-GGA.

The value obtained for the electronic total energy is -6.94 eV/atom. For the calculated formation energy, the calculation gives -0.13 eV/atom. The value obtained for the density of states at the Fermi level is 0.2365 states/eV/atom.

Cell and atoms, written as POSCAR:
```
SmB14Mo
1.0
-3.401 -1.039 4.682
2.533 -5.547 4.301
2.994 2.402 6.399
B Mo Sm
28 2 2
direct
0.118 0.252 0.511 B
0.096 0.225 0.902 B
0.331 0.374 0.472 B
0.276 0.402 0.725 B
0.332 0.637 0.698 B
0.904 0.775 0.098 B
0.618 0.011 0.752 B
0.831 0.972 0.874 B
0.823 0.374 0.472 B
0.581 0.249 0.590 B
0.169 0.028 0.126 B
0.882 0.748 0.489 B
0.419 0.751 0.410 B
0.382 0.989 0.248 B
0.677 0.028 0.126 B
0.168 0.802 0.863 B
0.832 0.198 0.137 B
0.668 0.363 0.302 B
0.081 0.090 0.749 B
0.177 0.626 0.528 B
0.919 0.910 0.251 B
0.669 0.626 0.528 B
0.776 0.225 0.902 B
0.596 0.402 0.725 B
0.724 0.598 0.275 B
0.323 0.972 0.874 B
0.404 0.598 0.275 B
0.224 0.775 0.098 B
0.000 0.000 0.500 Mo
0.500 0.000 0.500 Mo
0.750 0.624 0.876 Sm
0.250 0.376 0.124 Sm
```


Record 2
An optimized crystal structure of SmBMo. Source: Alexandria, functional PBE-GGA.

The value obtained for the electronic total energy is -7.51 eV/atom. For the calculated formation energy, the calculation gives -0.10 eV/atom. The value obtained for the density of states at the Fermi level is 0.6150 states/eV/atom.

Cell and atoms, written as POSCAR:
```
SmBMo
1.0
3.186 0.000 0.000
-1.593 5.202 0.000
0.000 0.000 6.237
Sm B Mo
2 2 2
direct
0.273 0.546 0.750 Sm
0.727 0.454 0.250 Sm
0.533 0.067 0.750 B
0.467 0.933 0.250 B
0.000 0.000 0.000 Mo
0.000 0.000 0.500 Mo
```


Record 3
An optimized crystal structure of SnB3Mo. Source: Alexandria, functional PBE-GGA.

The value obtained for the electronic total energy is -5.82 eV/atom. For the calculated formation energy, the calculation gives 1.16 eV/atom. The value obtained for the density of states at the Fermi level is 0.5756 states/eV/atom.

Cell and atoms, written as POSCAR:
```
SnB3Mo
1.0
4.265 0.000 0.000
0.000 4.265 0.000
0.000 0.000 4.265
Sn B Mo
1 3 1
direct
0.500 0.500 0.500 Sn
0.500 0.000 0.000 B
0.000 0.500 0.000 B
0.000 0.000 0.500 B
0.000 0.000 0.000 Mo
```


Record 4
An optimized crystal structure of SnB3Mo. Source: Alexandria, functional PBE-GGA.

The value obtained for the electronic total energy is -4.30 eV/atom. For the calculated formation energy, the calculation gives 2.67 eV/atom. The value obtained for the density of states at the Fermi level is 1.5281 states/eV/atom.

Cell and atoms, written as POSCAR:
```
SnB3Mo
1.0
4.291 0.000 0.000
0.000 4.291 0.000
0.000 0.000 4.291
Mo Sn B
1 1 3
direct
0.500 0.500 0.500 Mo
0.000 0.000 0.000 Sn
0.000 0.000 0.500 B
0.000 0.500 0.000 B
0.500 0.000 0.000 B
```